Record 1
Material: Pr4Nd3Dy4
Method: DFT, PBE-GGA
State: relaxed

Summary:
Total moment (μB per formula unit): 0.00
Energy of formation from the pure elements (meV per atom): 150
SG: Amm2, No. 38
ΔE to the lowest computed polymorph (eV/f.u.): 0.24

Cell: 5.7962 6.7328 10.8810 Å, 90.00 90.00 115.50°
With the nearest neighbours (Å) after each atom.
Atoms (fractional coordinates):
Pr (0.7526, 0.5053, 0.7883)  4 Dy 3.33-3.59, 2 Pr 3.41-3.51, 4 Nd 3.58-3.70
Dy (0.1055, 0.2110, 0.3049)  4 Pr 3.45-3.76, 2 Dy 3.59, 4 Nd 3.72-3.77
Pr (0.8822, 0.7644, 0.5000)  3 Dy 3.32-3.45, 2 Pr 3.51, 4 Nd 3.71
Pr (0.9599, 0.9197, 0.0000)  2 Dy 3.12, 2 Pr 3.41
Dy (0.5550, 0.1100, 0.0000)  4 Pr 3.12-3.33
Nd (0.4114, 0.8229, 0.2898)  2 Dy 3.32-3.60, 4 Pr 3.58-3.71, 1 Nd 3.69
Pr (0.7526, 0.5053, 0.2117)  4 Dy 3.33-3.59, 2 Pr 3.41-3.51, 4 Nd 3.58-3.70
Nd (0.4114, 0.8229, 0.7102)  2 Dy 3.32-3.60, 4 Pr 3.58-3.71, 1 Nd 3.69
Nd (0.2533, 0.5066, 0.0000)  7 Pr 3.57-3.83, 5 Dy 3.67-3.77, 2 Nd 3.69
Dy (0.1055, 0.2110, 0.6951)  4 Pr 3.45-3.76, 2 Dy 3.59, 4 Nd 3.72-3.77
Dy (0.6090, 0.2180, 0.5000)  2 Nd 3.32, 3 Pr 3.32-3.59, 4 Dy 3.59

---

Record 2
Material: Pr2NdDy2
Method: DFT, PBE-GGA
State: relaxed

Summary:
Total moment (μB per formula unit): 0.00
Energy of formation from the pure elements (meV per atom): 53
SG: Immm, No. 71
ΔE to the lowest computed polymorph (eV/f.u.): 0.00

Cell: 3.5757 8.9406 5.7801 Å, 71.13 90.00 101.54°
With the nearest neighbours (Å) after each atom.
Atoms (fractional coordinates):
Pr (0.7879, 0.5759, 0.2122)  4 Dy 3.45-3.61, 6 Pr 3.58-3.62
Dy (0.9017, 0.8034, 0.5984)  3 Dy 3.25-3.58, 4 Pr 3.45-3.61
Dy (0.0983, 0.1966, 0.4016)  3 Dy 3.25-3.58, 4 Pr 3.45-3.61
Nd (0.5000, 0.0000, 0.0000)  2 Nd 3.58, 8 Dy 3.77, 4 Pr 3.94
Pr (0.2121, 0.4241, 0.7878)  4 Dy 3.45-3.61, 6 Pr 3.58-3.62

---

Record 3
Material: PrNdDy6
Method: DFT, PBE-GGA
State: relaxed

Summary:
Total moment (μB per formula unit): 0.00
Energy of formation from the pure elements (meV per atom): 364
SG: C2/m, No. 12
ΔE to the lowest computed polymorph (eV/f.u.): 2.74

Cell: 6.1195 6.1195 9.4040 Å, 86.74 117.29 112.51°
With the nearest neighbours (Å) after each atom.
Atoms (fractional coordinates):
Dy (0.2983, 0.6256, 0.9238)  5 Dy 3.15-3.51
Dy (0.8410, 0.9377, 0.2994)  5 Dy 3.26-3.54, 1 Nd 3.34, 2 Pr 3.45-3.52
Dy (0.1590, 0.0623, 0.7006)  5 Dy 3.26-3.54, 1 Nd 3.34, 2 Pr 3.45-3.52
Dy (0.6383, 0.5416, 0.7006)  5 Dy 3.26-3.54, 1 Nd 3.34, 2 Pr 3.45-3.52
Dy (0.3617, 0.4584, 0.2994)  5 Dy 3.26-3.54, 1 Nd 3.34, 2 Pr 3.45-3.52
Dy (0.7017, 0.3744, 0.0762)  5 Dy 3.15-3.51
Pr (0.5000, 0.0000, 0.5000)  8 Dy 3.45-3.52
Nd (0.0000, 0.0000, 0.0000)  6 Dy 3.34-3.70

---

Record 4
Material: Pr6Nd2Dy3
Method: DFT, PBE-GGA
State: relaxed

Summary:
Total moment (μB per formula unit): 0.00
Energy of formation from the pure elements (meV per atom): 15
SG: P-1, No. 2
ΔE to the lowest computed polymorph (eV/f.u.): 0.00

Cell: 8.2000 6.3449 15.0925 Å, 60.61 49.30 97.27°
With the nearest neighbours (Å) after each atom.
Atoms (fractional coordinates):
Pr (0.6371, 0.0925, 0.7272)  3 Nd 3.64-3.68, 6 Pr 3.65-3.68, 3 Dy 3.66-3.68
Pr (0.7227, 0.8172, 0.5458)  4 Dy 3.63-3.66, 6 Pr 3.63-3.74, 2 Nd 3.67-3.69
Pr (0.9073, 0.2705, 0.1828)  5 Pr 3.63-3.68, 5 Dy 3.64-3.67, 2 Nd 3.66-3.70
Dy (0.1820, 0.4524, 0.6376)  8 Pr 3.63-3.68, 2 Dy 3.64-3.65, 2 Nd 3.64-3.67
Pr (0.2773, 0.1828, 0.4542)  4 Dy 3.63-3.66, 6 Pr 3.63-3.74, 2 Nd 3.67-3.69
Nd (0.5420, 0.3599, 0.9103)  7 Pr 3.64-3.70, 3 Dy 3.64-3.67, 2 Nd 3.65-3.68
Dy (0.8180, 0.5476, 0.3624)  8 Pr 3.63-3.68, 2 Dy 3.64-3.65, 2 Nd 3.64-3.67
Dy (0.0000, 0.0000, 0.0000)  2 Dy 3.64, 8 Pr 3.65-3.67, 2 Nd 3.65
Pr (0.3629, 0.9075, 0.2728)  3 Nd 3.64-3.68, 6 Pr 3.65-3.68, 3 Dy 3.66-3.68
Pr (0.0927, 0.7295, 0.8172)  5 Pr 3.63-3.68, 5 Dy 3.64-3.67, 2 Nd 3.66-3.70
Nd (0.4580, 0.6401, 0.0897)  7 Pr 3.64-3.70, 3 Dy 3.64-3.67, 2 Nd 3.65-3.68

---

Record 5
Material: Pr2Nd2Dy3
Method: DFT, PBE-GGA
State: relaxed

Summary:
Total moment (μB per formula unit): 0.00
Energy of formation from the pure elements (meV per atom): 118
SG: C2/m, No. 12
ΔE to the lowest computed polymorph (eV/f.u.): 0.71

Cell: 3.5306 8.7337 9.0881 Å, 118.45 101.20 90.00°
With the nearest neighbours (Å) after each atom.
Atoms (fractional coordinates):
Dy (0.0000, 0.5000, 0.0000)  4 Dy 3.41-3.53, 2 Nd 3.58, 4 Pr 3.64
Pr (0.5671, 0.9104, 0.1342)  3 Pr 3.44-3.53, 5 Dy 3.49-3.64, 4 Nd 3.73-3.83
Dy (0.2123, 0.8033, 0.4246)  5 Dy 3.41-3.53, 3 Pr 3.49-3.61, 3 Nd 3.65-3.69
Nd (0.1498, 0.3380, 0.2996)  4 Nd 3.53-3.75, 4 Dy 3.58-3.69, 4 Pr 3.73-3.83
Pr (0.4329, 0.0896, 0.8658)  3 Pr 3.44-3.53, 5 Dy 3.49-3.64, 4 Nd 3.73-3.83
Nd (0.8502, 0.6620, 0.7004)  4 Nd 3.53-3.75, 4 Dy 3.58-3.69, 4 Pr 3.73-3.83
Dy (0.7877, 0.1967, 0.5754)  5 Dy 3.41-3.53, 3 Pr 3.49-3.61, 3 Nd 3.65-3.69

---

Record 6
Material: Pr8NdDy5
Method: DFT, PBE-GGA
State: relaxed

Summary:
Total moment (μB per formula unit): 0.00
Energy of formation from the pure elements (meV per atom): 159
SG: P1, No. 1

Cell: 8.6426 8.7750 8.7308 Å, 117.77 98.06 113.03°
With the nearest neighbours (Å) after each atom.
Atoms (fractional coordinates):
Pr (0.5297, 0.8854, 0.7758)  3 Pr 3.25-3.54, 1 Nd 3.42, 2 Dy 3.49-3.63
Dy (0.7191, 0.5834, 0.6894)  7 Pr 3.25-3.63, 1 Dy 3.47, 1 Nd 3.57
Dy (0.3005, 0.1049, 0.0440)  4 Pr 3.29-3.64, 1 Dy 3.48
Pr (0.2529, 0.3517, 0.4885)  4 Dy 3.27-3.64, 1 Nd 3.50, 2 Pr 3.54-3.63
Pr (0.8938, 0.1085, 0.6230)  5 Pr 3.35-3.72, 2 Dy 3.51-3.58
Pr (0.0952, 0.6243, 0.8837)  1 Nd 3.18, 4 Dy 3.25-3.50, 1 Pr 3.44
Pr (0.0632, 0.7585, 0.5199)  5 Dy 3.51-3.79, 5 Pr 3.51-3.88
Pr (0.6716, 0.3508, 0.9228)  1 Pr 3.25, 1 Nd 3.44, 3 Dy 3.46-3.62
Pr (0.7634, 0.2395, 0.2974)  5 Pr 3.51-3.89, 5 Dy 3.51-3.75
Nd (0.4645, 0.6262, 0.9793)  5 Pr 3.18-3.50, 1 Dy 3.40
Dy (0.9299, 0.8796, 0.1779)  4 Pr 3.27-3.58, 1 Nd 3.40, 1 Dy 3.47
Dy (0.4040, 0.9785, 0.3884)  7 Pr 3.51-3.88, 1 Nd 3.75, 2 Dy 3.77-3.81
Dy (0.0950, 0.3902, 0.1162)  1 Dy 3.48, 7 Pr 3.50-3.65, 1 Nd 3.76
Pr (0.5673, 0.6183, 0.3437)  1 Nd 3.22, 3 Dy 3.32-3.50, 2 Pr 3.35-3.54

---

Record 7
Material: Pr2Nd2Dy7
Method: DFT, PBE-GGA
State: relaxed

Summary:
Total moment (μB per formula unit): 0.00
Energy of formation from the pure elements (meV per atom): 148
SG: C2/m, No. 12

Cell: 8.1418 10.4974 8.1418 Å, 126.07 88.29 53.93°
With the nearest neighbours (Å) after each atom.
Atoms (fractional coordinates):
Pr (0.7854, 0.3113, 0.2146)  7 Dy 3.46-3.80, 2 Pr 3.55-3.77, 2 Nd 3.81
Dy (0.7647, 0.3241, 0.7589)  6 Dy 3.29-3.65, 2 Nd 3.32-3.48, 1 Pr 3.68
Dy (0.6564, 0.0761, 0.3436)  5 Dy 3.39-3.59, 3 Pr 3.46-3.79, 2 Nd 3.50
Pr (0.2146, 0.6887, 0.7854)  7 Dy 3.46-3.80, 2 Pr 3.55-3.77, 2 Nd 3.81
Dy (0.2353, 0.6759, 0.2411)  6 Dy 3.29-3.65, 2 Nd 3.32-3.48, 1 Pr 3.68
Dy (0.7589, 0.6759, 0.7647)  6 Dy 3.29-3.65, 2 Nd 3.32-3.48, 1 Pr 3.68
Nd (0.7112, 0.0000, 0.7112)  6 Dy 3.32-3.50
Nd (0.2888, 0.0000, 0.2888)  6 Dy 3.32-3.50
Dy (0.0000, 0.5000, 0.0000)  6 Dy 3.32-3.45
Dy (0.2411, 0.3241, 0.2353)  6 Dy 3.29-3.65, 2 Nd 3.32-3.48, 1 Pr 3.68
Dy (0.3436, 0.9239, 0.6564)  5 Dy 3.39-3.59, 3 Pr 3.46-3.79, 2 Nd 3.50

---

Record 8
Material: Pr3Nd2Dy3
Method: DFT, PBE-GGA
State: relaxed

Summary:
Total moment (μB per formula unit): 0.00
Energy of formation from the pure elements (meV per atom): 17
SG: Immm, No. 71
ΔE to the lowest computed polymorph (eV/f.u.): 0.00

Cell: 5.1359 5.1573 10.9264 Å, 103.65 103.59 90.00°
With the nearest neighbours (Å) after each atom.
Atoms (fractional coordinates):
Dy (0.0000, 0.5000, 0.0000)  8 Pr 3.62-3.64, 4 Dy 3.64
Dy (0.1247, 0.1247, 0.2494)  6 Pr 3.63-3.64, 4 Nd 3.64-3.65, 2 Dy 3.64
Pr (0.5000, 0.0000, 0.0000)  4 Pr 3.62, 8 Dy 3.63-3.64
Pr (0.3765, 0.3765, 0.7530)  6 Dy 3.62-3.64, 2 Pr 3.62, 4 Nd 3.66
Nd (0.2504, 0.7504, 0.5007)  4 Dy 3.64-3.65, 4 Nd 3.64, 4 Pr 3.66
Dy (0.8753, 0.8753, 0.7506)  6 Pr 3.63-3.64, 4 Nd 3.64-3.65, 2 Dy 3.64
Pr (0.6235, 0.6235, 0.2470)  6 Dy 3.62-3.64, 2 Pr 3.62, 4 Nd 3.66
Nd (0.7496, 0.2496, 0.4993)  4 Dy 3.64-3.65, 4 Nd 3.64, 4 Pr 3.66

---

Record 9
Material: Pr6NdDy3
Method: DFT, PBE-GGA
State: relaxed

Summary:
Total moment (μB per formula unit): 0.00
Energy of formation from the pure elements (meV per atom): 137
SG: Cmc2_1, No. 36
ΔE to the lowest computed polymorph (eV/f.u.): 0.14

Cell: 6.4474 11.1934 11.1934 Å, 120.62 90.00 90.00°
With the nearest neighbours (Å) after each atom.
Atoms (fractional coordinates):
Pr (0.3726, 0.5255, 0.9421)  1 Pr 3.16, 1 Nd 3.33, 2 Dy 3.35-3.52
Pr (0.3726, 0.0579, 0.4745)  1 Pr 3.16, 1 Nd 3.33, 2 Dy 3.35-3.52
Pr (0.8726, 0.9421, 0.5255)  1 Pr 3.16, 1 Nd 3.33, 2 Dy 3.35-3.52
Dy (0.4620, 0.9423, 0.7092)  1 Nd 3.34, 6 Pr 3.35-3.61, 1 Dy 3.71
Pr (0.8726, 0.4745, 0.0579)  1 Pr 3.16, 1 Nd 3.33, 2 Dy 3.35-3.52
Dy (0.0904, 0.3831, 0.6169)  7 Pr 3.46-3.82, 2 Dy 3.71, 1 Nd 3.71
Pr (0.0513, 0.7086, 0.6294)  4 Dy 3.50-3.82, 5 Pr 3.55-3.86
Dy (0.9620, 0.0577, 0.2908)  1 Nd 3.34, 6 Pr 3.35-3.61, 1 Dy 3.71
Pr (0.3656, 0.9649, 0.0351)  1 Nd 3.43, 2 Pr 3.50, 4 Dy 3.58-3.61
Pr (0.5513, 0.6294, 0.7086)  4 Dy 3.50-3.82, 5 Pr 3.55-3.86
Pr (0.6502, 0.2818, 0.7182)  2 Pr 3.16, 1 Nd 3.42, 1 Dy 3.46
Pr (0.0513, 0.3706, 0.2914)  4 Dy 3.50-3.82, 5 Pr 3.55-3.86
Nd (0.1073, 0.1924, 0.8076)  6 Pr 3.33-3.66, 3 Dy 3.34-3.71
Pr (0.8656, 0.0351, 0.9649)  1 Nd 3.43, 2 Pr 3.50, 4 Dy 3.58-3.61
Pr (0.1502, 0.7182, 0.2818)  2 Pr 3.16, 1 Nd 3.42, 1 Dy 3.46
Dy (0.5904, 0.6169, 0.3831)  7 Pr 3.46-3.82, 2 Dy 3.71, 1 Nd 3.71
Nd (0.6073, 0.8076, 0.1924)  6 Pr 3.33-3.66, 3 Dy 3.34-3.71
Pr (0.5513, 0.2914, 0.3706)  4 Dy 3.50-3.82, 5 Pr 3.55-3.86
Dy (0.9620, 0.7092, 0.9423)  1 Nd 3.34, 6 Pr 3.35-3.61, 1 Dy 3.71
Dy (0.4620, 0.2908, 0.0577)  1 Nd 3.34, 6 Pr 3.35-3.61, 1 Dy 3.71

---

Record 10
Material: Pr3Nd4Dy4
Method: DFT, PBE-GGA
State: relaxed

Summary:
Total moment (μB per formula unit): 0.00
Energy of formation from the pure elements (meV per atom): 131
SG: Immm, No. 71
ΔE to the lowest computed polymorph (eV/f.u.): 0.00

Cell: 3.6403 9.5409 12.2582 Å, 112.90 98.54 90.00°
With the nearest neighbours (Å) after each atom.
Atoms (fractional coordinates):
Nd (0.6463, 0.4687, 0.2925)  3 Nd 3.39-3.64, 4 Dy 3.52-3.73, 2 Pr 3.67
Nd (0.3537, 0.5313, 0.7075)  3 Nd 3.39-3.64, 4 Dy 3.52-3.73, 2 Pr 3.67
Nd (0.6463, 0.8238, 0.2925)  3 Nd 3.39-3.64, 4 Dy 3.52-3.73, 2 Pr 3.67
Dy (0.5000, 0.8178, 0.0000)  3 Dy 3.48-3.64, 6 Pr 3.49-3.54, 2 Nd 3.52
Dy (0.7410, 0.2410, 0.4820)  2 Pr 3.47, 6 Nd 3.53-3.73, 2 Dy 3.64
Pr (0.0000, 0.5000, 0.0000)  4 Dy 3.54, 2 Pr 3.64
Pr (0.1086, 0.1086, 0.2172)  6 Dy 3.47-3.49, 2 Pr 3.64, 4 Nd 3.67
Dy (0.2590, 0.7590, 0.5180)  2 Pr 3.47, 6 Nd 3.53-3.73, 2 Dy 3.64
Nd (0.3537, 0.1762, 0.7075)  3 Nd 3.39-3.64, 4 Dy 3.52-3.73, 2 Pr 3.67
Dy (0.5000, 0.1822, 0.0000)  3 Dy 3.48-3.64, 6 Pr 3.49-3.54, 2 Nd 3.52
Pr (0.8914, 0.8914, 0.7828)  6 Dy 3.47-3.49, 2 Pr 3.64, 4 Nd 3.67